Density functional theory data (PBE) for crystalline SrMnIr at its relaxed geometry.

abc: 3.950 10.986 3.951
angles: 90.00 60.00 100.33
Fractional positions:
Sr: 0.805 0.240 0.002
Sr: 0.884 0.861 0.463
Mn: 0.012 0.552 0.898
Mn: 0.677 0.549 0.566
Ir: 0.425 0.672 0.192
Ir: 0.264 0.429 0.272

As for the energy relative to the lowest polymorph listed for this composition: 164 meV per atom. The volume comes out at 24.21 Å³/atom. The value obtained for the energy of formation from the pure elements is 96 meV/atom.



Density functional theory data (PBE) for crystalline SrMnIr at its relaxed geometry.

abc: 5.871 4.487 11.276
angles: 90.00 90.00 90.00
Fractional positions:
Sr: 0.879 0.250 0.369
Sr: 0.621 0.750 0.869
Sr: 0.121 0.750 0.631
Sr: 0.379 0.250 0.131
Ir: 0.385 0.250 0.455
Ir: 0.115 0.750 0.955
Ir: 0.615 0.750 0.545
Ir: 0.885 0.250 0.045
Mn: 0.121 0.250 0.856
Mn: 0.379 0.750 0.356
Mn: 0.879 0.750 0.144
Mn: 0.621 0.250 0.644

As for the energy relative to the lowest polymorph listed for this composition: 175 meV per atom. The volume comes out at 24.75 Å³/atom. The value obtained for the energy of formation from the pure elements is 107 meV/atom.



Density functional theory data (PBE) for crystalline SrMnIr at its relaxed geometry.

abc: 4.360 5.733 7.138
angles: 89.94 90.58 48.94
Fractional positions:
Sr: 0.444 0.275 0.468
Sr: 0.465 0.765 0.136
Mn: 0.955 0.236 0.803
Mn: 0.954 0.804 0.802
Ir: 0.386 0.305 0.941
Ir: 0.523 0.735 0.664

As for the energy relative to the lowest polymorph listed for this composition: 118 meV per atom. The volume comes out at 22.42 Å³/atom. The value obtained for the energy of formation from the pure elements is 51 meV/atom.